# 1
The following is a DFT calculation (GGA-PBE) of Cs2NaPdSe2 after structural relaxation.

Uncorrected energy, eV/atom: -3.28
Formation energy from raw total energies, eV per formula unit: -4.47

Unit cell a=9.359 b=9.359 c=9.359 alpha=136.08 beta=63.73 gamma=136.25
Atoms (fractional coordinates):
Cs (0.168, 0.239, 0.407)
Cs (0.332, 0.739, 0.071)
Cs (0.668, 0.261, 0.929)
Cs (0.832, 0.761, 0.593)
Na (0.250, 0.750, 0.500)
Na (0.750, 0.250, 0.500)
Pd (0.250, 0.250, 0.000)
Pd (0.750, 0.750, 0.000)
Se (0.084, 0.774, 0.858)
Se (0.416, 0.274, 0.691)
Se (0.584, 0.726, 0.309)
Se (0.916, 0.226, 0.142)

***

# 2
The following is a DFT calculation (GGA-PBE) of RbTi3Os after structural relaxation.

Uncorrected energy, eV/atom: -6.50
Distance to the lowest polymorph of the same formula, meV/atom: 0.0
Energy of formation, eV per atom: 0.68

Unit cell a=4.948 b=4.948 c=4.948 alpha=90.00 beta=90.00 gamma=90.00
Atoms (fractional coordinates):
Rb (0.000, 0.000, 0.000)
Ti (0.000, 0.500, 0.500)
Ti (0.500, 0.000, 0.500)
Ti (0.500, 0.500, 0.000)
Os (0.500, 0.500, 0.500)

***

# 3
The following is a DFT calculation (GGA-PBE) of TlHg2Rh2 after structural relaxation.

Uncorrected energy, eV/atom: -3.18
Distance to the lowest polymorph of the same formula, meV/atom: 273.4
Energy of formation, eV per atom: 0.36

Unit cell a=4.093 b=4.093 c=12.627 alpha=90.00 beta=90.00 gamma=90.00
Atoms (fractional coordinates):
Tl (0.000, 0.000, 0.000)
Tl (0.500, 0.500, 0.500)
Hg (0.000, 0.500, 0.250)
Hg (0.000, 0.500, 0.750)
Hg (0.500, 0.000, 0.250)
Hg (0.500, 0.000, 0.750)
Rh (0.000, 0.000, 0.400)
Rh (0.000, 0.000, 0.600)
Rh (0.500, 0.500, 0.100)
Rh (0.500, 0.500, 0.900)

***

# 4
The following is a DFT calculation (GGA-PBE) of TbCd6Ag2 after structural relaxation.

Uncorrected energy, eV/atom: -1.86
Distance to the lowest polymorph of the same formula, meV/atom: 0.0
Energy of formation, eV per atom: -0.10

Unit cell a=9.482 b=9.482 c=4.838 alpha=90.00 beta=90.00 gamma=70.96
Atoms (fractional coordinates):
Tb (0.207, 0.793, 0.750)
Tb (0.793, 0.207, 0.250)
Cd (0.030, 0.181, 0.750)
Cd (0.048, 0.376, 0.250)
Cd (0.181, 0.030, 0.250)
Cd (0.263, 0.552, 0.250)
Cd (0.376, 0.048, 0.750)
Cd (0.448, 0.737, 0.250)
Cd (0.552, 0.263, 0.750)
Cd (0.624, 0.952, 0.250)
Cd (0.737, 0.448, 0.750)
Cd (0.819, 0.970, 0.750)
Cd (0.952, 0.624, 0.750)
Cd (0.970, 0.819, 0.250)
Ag (0.236, 0.393, 0.750)
Ag (0.393, 0.236, 0.250)
Ag (0.607, 0.764, 0.750)
Ag (0.764, 0.607, 0.250)

***

# 5
The following is a DFT calculation (GGA-PBE) of KNa2ZnAg after structural relaxation.

Uncorrected energy, eV/atom: -1.47
Distance to the lowest polymorph of the same formula, meV/atom: 32.9
Energy of formation, eV per atom: 0.10

Unit cell a=5.646 b=5.646 c=5.184 alpha=90.00 beta=90.00 gamma=90.00
Atoms (fractional coordinates):
K (0.000, 0.000, 0.000)
Na (0.000, 0.500, 0.500)
Na (0.500, 0.000, 0.500)
Zn (0.500, 0.500, 0.500)
Ag (0.500, 0.500, 0.000)

***

# 6
The following is a DFT calculation (GGA-PBE) of BaPrSn2Pd5 after structural relaxation.

Uncorrected energy, eV/atom: -5.06
Energy of formation, eV per atom: -0.54

Unit cell a=4.789 b=4.789 c=8.904 alpha=90.00 beta=90.00 gamma=90.00
Atoms (fractional coordinates):
Ba (0.000, 0.000, 0.000)
Pr (0.000, 0.000, 0.500)
Sn (0.500, 0.500, 0.340)
Sn (0.500, 0.500, 0.660)
Pd (0.000, 0.500, 0.227)
Pd (0.000, 0.500, 0.773)
Pd (0.500, 0.000, 0.227)
Pd (0.500, 0.000, 0.773)
Pd (0.500, 0.500, 0.000)

***

# 7
The following is a DFT calculation (GGA-PBE) of NaLiHg3 after structural relaxation.

Uncorrected energy, eV/atom: -1.07
Distance to the lowest polymorph of the same formula, meV/atom: 0.0
Energy of formation, eV per atom: -0.24

Unit cell a=9.032 b=5.833 c=9.337 alpha=90.00 beta=101.10 gamma=90.00
Atoms (fractional coordinates):
Na (0.122, 0.122, 0.223)
Na (0.122, 0.378, 0.723)
Na (0.878, 0.622, 0.277)
Na (0.878, 0.878, 0.777)
Li (0.437, 0.667, 0.652)
Li (0.437, 0.833, 0.152)
Li (0.563, 0.167, 0.848)
Li (0.563, 0.333, 0.348)
Hg (0.122, 0.658, 0.051)
Hg (0.122, 0.842, 0.551)
Hg (0.284, 0.578, 0.360)
Hg (0.284, 0.922, 0.860)
Hg (0.395, 0.172, 0.561)
Hg (0.395, 0.328, 0.061)
Hg (0.605, 0.672, 0.939)
Hg (0.605, 0.828, 0.439)
Hg (0.716, 0.078, 0.140)
Hg (0.716, 0.422, 0.640)
Hg (0.878, 0.158, 0.449)
Hg (0.878, 0.342, 0.949)

***

# 8
The following is a DFT calculation (GGA-PBE) of Mg2SnSbN after structural relaxation.

Uncorrected energy, eV/atom: -4.15
Formation energy from raw total energies, eV per formula unit: -1.11

Unit cell a=4.381 b=4.381 c=5.083 alpha=90.00 beta=90.00 gamma=90.00
Atoms (fractional coordinates):
Mg (0.000, 0.500, 0.000)
Mg (0.500, 0.000, 0.000)
Sn (0.000, 0.000, 0.500)
Sb (0.500, 0.500, 0.500)
N (0.000, 0.000, 0.000)

***

# 9
The following is a DFT calculation (GGA-PBE) of NaPuCu10 after structural relaxation.

Uncorrected energy, eV/atom: -4.69
Energy of formation, eV per atom: 0.03

Unit cell a=4.047 b=5.057 c=8.707 alpha=90.00 beta=90.00 gamma=90.00
Atoms (fractional coordinates):
Na (0.000, 0.000, 0.000)
Pu (0.000, 0.500, 0.500)
Cu (0.000, 0.000, 0.327)
Cu (0.000, 0.000, 0.673)
Cu (0.000, 0.500, 0.162)
Cu (0.000, 0.500, 0.838)
Cu (0.500, 0.000, 0.500)
Cu (0.500, 0.254, 0.253)
Cu (0.500, 0.254, 0.747)
Cu (0.500, 0.500, 0.000)
Cu (0.500, 0.746, 0.253)
Cu (0.500, 0.746, 0.747)

***

Which DOS(E_F) belongs to each record? In order, 10.0 6.2 9.0 7.8 3.1 4.2 6.7 0.6 17.4 states/eV per cell.